The following is a GGA+U calculation of Fe3O4F2 after structural relaxation, from Alexandria via LeMat-Bulk.

abc: 10.5513 10.5513 3.0361
angles: 90.00 90.00 143.45
Positions (direct):
Fe  0.0000  0.0000  0.0000
Fe  0.1583  0.8417  0.5000
Fe  0.3388  0.6612  0.0000
Fe  0.5000  0.5000  0.5000
Fe  0.6612  0.3388  0.0000
Fe  0.8417  0.1583  0.5000
O  0.0961  0.9039  0.0000
O  0.1428  0.4726  0.5000
O  0.4393  0.5607  0.0000
O  0.4726  0.1428  0.5000
O  0.5274  0.8572  0.5000
O  0.5607  0.4393  0.0000
O  0.8572  0.5274  0.5000
O  0.9039  0.0961  0.0000
F  0.1935  0.1935  0.5000
F  0.2286  0.7714  0.0000
F  0.7714  0.2286  0.0000
F  0.8065  0.8065  0.5000

## Properties
- volume (Å³/atom) = 11.18
- distance to the lowest polymorph of the same formula (meV/atom) = 59
- total magnetic moment (μB per formula unit) = 14.00